Entry 1:
NdPa6Se8: relaxed, PBE-GGA. Values from VASP.

Computed properties:
ΔE_f (raw) = -1.359 eV/atom
calculated total energy = -7.33 eV/atom
size of the total moment = 0.00 Bohr magnetons per cell
polymorph energy (0 for the lowest one) = 0 meV per atom

The structure in Quantum ESPRESSO input format:
```
&SYSTEM
  ibrav = 0, nat = 15, ntyp = 3
/
ATOMIC_SPECIES
Nd 144.24 Nd.upf
Pa 231.04 Pa.upf
Se 78.96 Se.upf
CELL_PARAMETERS angstrom
0.0000 5.7320 5.7320
5.7320 0.0000 5.7320
5.7320 5.7320 0.0000
ATOMIC_POSITIONS crystal
Nd 0.0000 0.0000 0.0000
Pa 0.0000 0.0000 0.5000
Pa 0.0000 0.5000 0.0000
Pa 0.0000 0.5000 0.5000
Pa 0.5000 0.0000 0.0000
Pa 0.5000 0.0000 0.5000
Pa 0.5000 0.5000 0.0000
Se 0.2500 0.2500 0.2500
Se 0.2631 0.2631 0.7369
Se 0.2631 0.7369 0.2631
Se 0.2631 0.7369 0.7369
Se 0.7369 0.2631 0.2631
Se 0.7369 0.2631 0.7369
Se 0.7369 0.7369 0.2631
Se 0.7500 0.7500 0.7500
```

Entry 2:
Nd2PaSe5: relaxed, PBE-GGA. Values from VASP.

Computed properties:
ΔE_f (raw) = -1.625 eV/atom
calculated total energy = -6.18 eV/atom
size of the total moment = 2.05 Bohr magnetons per cell
polymorph energy (0 for the lowest one) = 86 meV per atom

The structure in Quantum ESPRESSO input format:
```
&SYSTEM
  ibrav = 0, nat = 16, ntyp = 3
/
ATOMIC_SPECIES
Nd 144.24 Nd.upf
Pa 231.04 Pa.upf
Se 78.96 Se.upf
CELL_PARAMETERS angstrom
2.8579 -7.0750 0.0000
2.8579 7.0750 0.0000
0.0000 0.0000 14.0210
ATOMIC_POSITIONS crystal
Nd 0.1461 0.8539 0.5586
Nd 0.1461 0.8539 0.9414
Nd 0.8539 0.1461 0.0586
Nd 0.8539 0.1461 0.4414
Pa 0.1975 0.8025 0.2500
Pa 0.8025 0.1975 0.7500
Se 0.0475 0.9525 0.1223
Se 0.0475 0.9525 0.3777
Se 0.2585 0.7415 0.7500
Se 0.3125 0.6875 0.0789
Se 0.3125 0.6875 0.4211
Se 0.6875 0.3125 0.5789
Se 0.6875 0.3125 0.9211
Se 0.7415 0.2585 0.2500
Se 0.9525 0.0475 0.6223
Se 0.9525 0.0475 0.8777
```

Entry 3:
NdPa2Se5: relaxed, PBE-GGA. Values from VASP.

Computed properties:
ΔE_f (raw) = -1.485 eV/atom
calculated total energy = -6.63 eV/atom
size of the total moment = 5.93 Bohr magnetons per cell

The structure in Quantum ESPRESSO input format:
```
&SYSTEM
  ibrav = 0, nat = 16, ntyp = 3
/
ATOMIC_SPECIES
Nd 144.24 Nd.upf
Pa 231.04 Pa.upf
Se 78.96 Se.upf
CELL_PARAMETERS angstrom
-3.8408 3.8408 6.7292
3.8408 -3.8408 6.7292
3.8408 3.8408 -6.7292
ATOMIC_POSITIONS crystal
Nd 0.2500 0.2500 0.0000
Nd 0.7500 0.7500 0.0000
Pa 0.1489 0.6489 0.7977
Pa 0.3511 0.1489 0.5000
Pa 0.6489 0.8511 0.5000
Pa 0.8511 0.3511 0.2023
Se 0.0000 0.0000 0.0000
Se 0.0122 0.1967 0.5000
Se 0.1967 0.6967 0.1845
Se 0.3033 0.4878 0.5000
Se 0.4878 0.9878 0.1845
Se 0.5000 0.5000 0.0000
Se 0.5122 0.0122 0.8155
Se 0.6967 0.5122 0.5000
Se 0.8033 0.3033 0.8155
Se 0.9878 0.8033 0.5000
```

Entry 4:
Nd2PaSe: relaxed, PBE-GGA. Values from VASP.

Computed properties:
ΔE_f (raw) = -0.266 eV/atom
calculated total energy = -5.89 eV/atom
size of the total moment = 0.00 Bohr magnetons per cell

The structure in Quantum ESPRESSO input format:
```
&SYSTEM
  ibrav = 0, nat = 4, ntyp = 3
/
ATOMIC_SPECIES
Nd 144.24 Nd.upf
Pa 231.04 Pa.upf
Se 78.96 Se.upf
CELL_PARAMETERS angstrom
1.7860 1.0312 10.6760
-1.7860 1.0312 10.6760
0.0000 -2.0623 10.6760
ATOMIC_POSITIONS crystal
Nd 0.1021 0.1021 0.1021
Nd 0.8979 0.8979 0.8979
Pa 0.0000 0.0000 0.0000
Se 0.5000 0.5000 0.5000
```

Entry 5:
NdPaSe3: relaxed, PBE-GGA. Values from VASP.

Computed properties:
ΔE_f (raw) = -1.371 eV/atom
calculated total energy = -6.31 eV/atom
size of the total moment = 0.55 Bohr magnetons per cell
polymorph energy (0 for the lowest one) = 235 meV per atom

The structure in Quantum ESPRESSO input format:
```
&SYSTEM
  ibrav = 0, nat = 10, ntyp = 3
/
ATOMIC_SPECIES
Nd 144.24 Nd.upf
Pa 231.04 Pa.upf
Se 78.96 Se.upf
CELL_PARAMETERS angstrom
2.8037 -8.0727 0.0000
2.8037 8.0727 0.0000
0.0000 0.0000 5.8458
ATOMIC_POSITIONS crystal
Nd 0.1274 0.8726 0.0000
Nd 0.8726 0.1274 0.0000
Pa 0.3445 0.6555 0.5000
Pa 0.6555 0.3445 0.5000
Se 0.1561 0.8439 0.5000
Se 0.3093 0.6907 0.0000
Se 0.5000 0.5000 0.2474
Se 0.5000 0.5000 0.7526
Se 0.6907 0.3093 0.0000
Se 0.8439 0.1561 0.5000
```

Entry 6:
Nd5Pa2Se12: relaxed, PBE-GGA. Values from VASP.

Computed properties:
ΔE_f (raw) = -1.663 eV/atom
calculated total energy = -6.12 eV/atom
size of the total moment = 1.04 Bohr magnetons per cell

The structure in Quantum ESPRESSO input format:
```
&SYSTEM
  ibrav = 0, nat = 19, ntyp = 3
/
ATOMIC_SPECIES
Nd 144.24 Nd.upf
Pa 231.04 Pa.upf
Se 78.96 Se.upf
CELL_PARAMETERS angstrom
8.1841 -3.9170 0.0000
8.1841 3.9170 0.0000
-2.8449 0.0000 9.0864
ATOMIC_POSITIONS crystal
Nd 0.0000 0.0000 0.0000
Nd 0.2927 0.2927 0.1357
Nd 0.3127 0.3127 0.6779
Nd 0.6873 0.6873 0.3221
Nd 0.7073 0.7073 0.8643
Pa 0.2586 0.7413 0.5000
Pa 0.7413 0.2586 0.5000
Se 0.0078 0.0078 0.3063
Se 0.0922 0.5555 0.4070
Se 0.1048 0.5996 0.9362
Se 0.4004 0.8952 0.0638
Se 0.4445 0.9078 0.5930
Se 0.4977 0.4977 0.2759
Se 0.5023 0.5023 0.7241
Se 0.5555 0.0922 0.4070
Se 0.5996 0.1048 0.9362
Se 0.8952 0.4004 0.0638
Se 0.9078 0.4445 0.5930
Se 0.9922 0.9922 0.6937
```

Let's list calculated density in order: 9.5, 5.4, 8.4, 8.4, 7.7, 6.1 Mg/m³.
Let's list density of states at the Fermi level in order: 22.238, 7.429, 17.020, 6.591, 10.429, 3.689 states/eV/cell.